# 1
Material: YRe2Sb
Method: DFT, GGA-PBE
State: optimized geometry

Geometry as CIF:
```
data_YRe2Sb
_cell_length_a 3.4919
_cell_length_b 4.4941
_cell_length_c 9.7956
_cell_angle_alpha 90.00
_cell_angle_beta 90.00
_cell_angle_gamma 90.00
_space_group_name_H-M_alt 'I m m m'
_space_group_IT_number 71
_space_group_name_Hall '-I 2 2'
loop_
_atom_site_label
_atom_site_fract_x
_atom_site_fract_y
_atom_site_fract_z
Y1 0.0000 0.0000 0.0000
Re1 0.0000 0.5000 0.2517
Sb1 0.0000 0.0000 0.5000
```

Calculated values
total energy: -33.6 eV per formula unit

---

# 2
Material: DyGaOs
Method: DFT, GGA-PBE
State: optimized geometry

Geometry as CIF:
```
data_DyGaOs
_cell_length_a 3.8944
_cell_length_b 3.8944
_cell_length_c 15.2343
_cell_angle_alpha 90.00
_cell_angle_beta 90.00
_cell_angle_gamma 120.00
_space_group_name_H-M_alt 'R 3 m'
_space_group_IT_number 160
_space_group_name_Hall 'R 3 -2"'
loop_
_atom_site_label
_atom_site_fract_x
_atom_site_fract_y
_atom_site_fract_z
Dy1 0.0000 0.0000 0.0000
Ga1 0.0000 0.0000 0.1909
Os1 0.0000 0.0000 0.7866
```

Calculated values
energy of formation from the pure elements: 99 meV per atom
total energy: -18.6 eV per formula unit

---

# 3
Material: CsCaH2SeF
Method: DFT, GGA-PBE
State: optimized geometry

Geometry as CIF:
```
data_CsCaH2SeF
_cell_length_a 3.7659
_cell_length_b 4.1050
_cell_length_c 15.3051
_cell_angle_alpha 90.00
_cell_angle_beta 90.00
_cell_angle_gamma 90.00
_space_group_name_H-M_alt 'I m m 2'
_space_group_IT_number 44
loop_
_space_group_symop_operation_xyz
'x,y,z'
'-x,-y,z'
'-x,y,z'
'x,-y,z'
'x+1/2,y+1/2,z+1/2'
'-x+1/2,-y+1/2,z+1/2'
'-x+1/2,y+1/2,z+1/2'
'x+1/2,-y+1/2,z+1/2'
loop_
_atom_site_label
_atom_site_fract_x
_atom_site_fract_y
_atom_site_fract_z
Cs1 0.0000 0.0000 0.0000
Ca1 0.0000 0.0000 0.7603
H1 0.1010 0.5000 0.6653
Se1 0.0000 0.0000 0.3453
F1 0.0000 0.5000 0.1607
```

Calculated values
ΔE to the lowest computed polymorph: 93 meV per atom
total energy: -23.7 eV per formula unit

---

# 4
Material: AcTl2Si2Au7
Method: DFT, GGA-PBE
State: optimized geometry

Geometry as CIF:
```
data_AcTl2Si2Au7
_cell_length_a 7.2299
_cell_length_b 6.8675
_cell_length_c 11.6271
_cell_angle_alpha 90.00
_cell_angle_beta 98.70
_cell_angle_gamma 90.00
_space_group_name_H-M_alt 'C 1 2/m 1'
_space_group_IT_number 12
loop_
_space_group_symop_operation_xyz
'x,y,z'
'-x,-y,-z'
'-x,y,-z'
'x,-y,z'
'x+1/2,y+1/2,z'
'-x+1/2,-y+1/2,-z'
'-x+1/2,y+1/2,-z'
'x+1/2,-y+1/2,z'
loop_
_atom_site_label
_atom_site_fract_x
_atom_site_fract_y
_atom_site_fract_z
Ac1 0.0000 0.0000 0.0000
Tl1 0.1284 0.0000 0.3916
Si1 0.1766 0.5000 0.2068
Au1 0.0000 0.5000 0.0000
Au2 0.0675 0.5000 0.3976
Au3 0.1425 0.2899 0.8100
```

Calculated values
total energy: -45.8 eV per formula unit

---

# 5
Material: BaAs2Rh
Method: DFT, GGA-PBE
State: optimized geometry

Geometry as CIF:
```
data_BaAs2Rh
_cell_length_a 4.8042
_cell_length_b 4.1776
_cell_length_c 5.2149
_cell_angle_alpha 90.00
_cell_angle_beta 101.92
_cell_angle_gamma 90.00
_space_group_name_H-M_alt 'P 1 2/m 1'
_space_group_IT_number 10
loop_
_space_group_symop_operation_xyz
'x,y,z'
'-x,-y,-z'
'-x,y,-z'
'x,-y,z'
loop_
_atom_site_label
_atom_site_fract_x
_atom_site_fract_y
_atom_site_fract_z
Ba1 0.0000 0.0000 0.0000
As1 0.2654 0.5000 0.6103
Rh1 0.5000 0.0000 0.5000
```

Calculated values
energy of formation from the pure elements: -687 meV per atom
total energy: -21.3 eV per formula unit

---

# 6
Material: Be2Nb2W
Method: DFT, GGA-PBE
State: optimized geometry

Geometry as CIF:
```
data_Be2Nb2W
_cell_length_a 6.4284
_cell_length_b 6.4284
_cell_length_c 3.3325
_cell_angle_alpha 90.00
_cell_angle_beta 90.00
_cell_angle_gamma 90.00
_space_group_name_H-M_alt 'P 4/m b m'
_space_group_IT_number 127
_space_group_name_Hall '-P 4 2ab'
loop_
_atom_site_label
_atom_site_fract_x
_atom_site_fract_y
_atom_site_fract_z
Be1 0.1159 0.3841 0.0000
Nb1 0.1803 0.6803 0.5000
W1 0.0000 0.0000 0.0000
```

Calculated values
energy of formation from the pure elements: -211 meV per atom
total energy: -41.6 eV per formula unit

---

# 7
Material: CuNi2Pt8
Method: DFT, GGA-PBE
State: optimized geometry

Geometry as CIF:
```
data_CuNi2Pt8
_cell_length_a 3.9351
_cell_length_b 7.2008
_cell_length_c 11.6499
_cell_angle_alpha 90.00
_cell_angle_beta 90.00
_cell_angle_gamma 90.00
_space_group_name_H-M_alt 'I m m m'
_space_group_IT_number 71
_space_group_name_Hall '-I 2 2'
loop_
_atom_site_label
_atom_site_fract_x
_atom_site_fract_y
_atom_site_fract_z
Cu1 0.0000 0.0000 0.0000
Ni1 0.0000 0.0000 0.3197
Pt1 0.0000 0.2042 0.5000
Pt2 0.0000 0.2701 0.1616
Pt3 0.0000 0.5000 0.3484
```

Calculated values
energy of formation from the pure elements: -3 meV per atom
ΔE to the lowest computed polymorph: 73 meV per atom
total energy: -64.0 eV per formula unit

---

# 8
Material: ScMnRu3
Method: DFT, GGA-PBE
State: optimized geometry

Geometry as CIF:
```
data_ScMnRu3
_cell_length_a 4.5175
_cell_length_b 4.5175
_cell_length_c 4.5175
_cell_angle_alpha 90.00
_cell_angle_beta 90.00
_cell_angle_gamma 90.00
_space_group_name_H-M_alt 'P m -3 m'
_space_group_IT_number 221
_space_group_name_Hall '-P 4 2 3'
loop_
_atom_site_label
_atom_site_fract_x
_atom_site_fract_y
_atom_site_fract_z
Sc1 0.0000 0.0000 0.0000
Mn1 0.5000 0.5000 0.5000
Ru1 0.0000 0.0000 0.5000
```

Calculated values
energy of formation from the pure elements: 1940 meV per atom
ΔE to the lowest computed polymorph: 1337 meV per atom
total energy: -33.6 eV per formula unit

---

# 9
Material: LaTeAu2
Method: DFT, GGA-PBE
State: optimized geometry

Geometry as CIF:
```
data_LaTeAu2
_cell_length_a 4.0320
_cell_length_b 4.0320
_cell_length_c 6.2957
_cell_angle_alpha 90.00
_cell_angle_beta 90.00
_cell_angle_gamma 90.00
_space_group_name_H-M_alt 'P 4/m m m'
_space_group_IT_number 123
_space_group_name_Hall '-P 4 2'
loop_
_atom_site_label
_atom_site_fract_x
_atom_site_fract_y
_atom_site_fract_z
La1 0.0000 0.0000 0.0000
Te1 0.0000 0.0000 0.5000
Au1 0.5000 0.5000 0.2493
```

Calculated values
total energy: -17.1 eV per formula unit

---

# 10
Material: TmPtAu
Method: DFT, GGA-PBE
State: optimized geometry

Geometry as CIF:
```
data_TmPtAu
_cell_length_a 6.5112
_cell_length_b 6.5112
_cell_length_c 6.5112
_cell_angle_alpha 90.00
_cell_angle_beta 90.00
_cell_angle_gamma 90.00
_space_group_name_H-M_alt 'F -4 3 m'
_space_group_IT_number 216
_space_group_name_Hall 'F -4 2 3'
loop_
_atom_site_label
_atom_site_fract_x
_atom_site_fract_y
_atom_site_fract_z
Tm1 0.0000 0.0000 0.0000
Pt1 0.2500 0.2500 0.7500
Au1 0.0000 0.0000 0.5000
```

Calculated values
energy of formation from the pure elements: -854 meV per atom
ΔE to the lowest computed polymorph: 139 meV per atom
total energy: -16.4 eV per formula unit

---

# 11
Material: TlRhPbCl6
Method: DFT, GGA-PBE
State: optimized geometry

Geometry as CIF:
```
data_TlRhPbCl6
_cell_length_a 7.0690
_cell_length_b 7.0690
_cell_length_c 12.9392
_cell_angle_alpha 90.00
_cell_angle_beta 90.00
_cell_angle_gamma 120.00
_space_group_name_H-M_alt 'P -3 1 c'
_space_group_IT_number 163
_space_group_name_Hall '-P 3 2c'
loop_
_atom_site_label
_atom_site_fract_x
_atom_site_fract_y
_atom_site_fract_z
Tl1 0.0000 0.0000 0.0000
Rh1 0.3333 0.6667 0.2500
Pb1 0.3333 0.6667 0.7500
Cl1 0.0578 0.3981 0.1420
```

Calculated values
total energy: -32.4 eV per formula unit

---

# 12
Material: BeCd2Pb
Method: DFT, GGA-PBE
State: optimized geometry

Geometry as CIF:
```
data_BeCd2Pb
_cell_length_a 4.5254
_cell_length_b 4.5254
_cell_length_c 18.4513
_cell_angle_alpha 90.00
_cell_angle_beta 90.00
_cell_angle_gamma 90.00
_space_group_name_H-M_alt 'I -4 2 d'
_space_group_IT_number 122
_space_group_name_Hall 'I -4 2bw'
loop_
_atom_site_label
_atom_site_fract_x
_atom_site_fract_y
_atom_site_fract_z
Be1 0.0000 0.0000 0.0000
Cd1 0.1861 0.2500 0.1250
Pb1 0.0000 0.0000 0.5000
```

Calculated values
energy of formation from the pure elements: 450 meV per atom
ΔE to the lowest computed polymorph: 148 meV per atom
total energy: -7.5 eV per formula unit

---

# 13
Material: AcTbPd
Method: DFT, GGA-PBE
State: optimized geometry

Geometry as CIF:
```
data_AcTbPd
_cell_length_a 4.8341
_cell_length_b 4.8341
_cell_length_c 4.5190
_cell_angle_alpha 90.00
_cell_angle_beta 90.00
_cell_angle_gamma 120.00
_space_group_name_H-M_alt 'P 3 m 1'
_space_group_IT_number 156
loop_
_space_group_symop_operation_xyz
'x,y,z'
'-y,x-y,z'
'-x+y,-x,z'
'-y,-x,z'
'-x+y,y,z'
'x,x-y,z'
loop_
_atom_site_label
_atom_site_fract_x
_atom_site_fract_y
_atom_site_fract_z
Ac1 0.0000 0.0000 0.0000
Tb1 0.3333 0.6667 0.4918
Pd1 0.6667 0.3333 0.6057
```

Calculated values
energy of formation from the pure elements: -377 meV per atom
ΔE to the lowest computed polymorph: 179 meV per atom
total energy: -15.1 eV per formula unit

---

# 14
Material: HfPaCrRe
Method: DFT, GGA-PBE
State: optimized geometry

Geometry as CIF:
```
data_HfPaCrRe
_cell_length_a 6.6550
_cell_length_b 6.6550
_cell_length_c 6.6550
_cell_angle_alpha 90.00
_cell_angle_beta 90.00
_cell_angle_gamma 90.00
_space_group_name_H-M_alt 'F -4 3 m'
_space_group_IT_number 216
_space_group_name_Hall 'F -4 2 3'
loop_
_atom_site_label
_atom_site_fract_x
_atom_site_fract_y
_atom_site_fract_z
Hf1 0.0000 0.0000 0.0000
Pa1 0.0000 0.0000 0.5000
Cr1 0.2500 0.2500 0.7500
Re1 0.2500 0.2500 0.2500
```

Calculated values
energy of formation from the pure elements: 4 meV per atom
total energy: -41.5 eV per formula unit

---

# 15
Material: Ta2V3Cr
Method: DFT, GGA-PBE
State: optimized geometry

Geometry as CIF:
```
data_Ta2V3Cr
_cell_length_a 5.0447
_cell_length_b 5.0447
_cell_length_c 12.1124
_cell_angle_alpha 90.00
_cell_angle_beta 90.00
_cell_angle_gamma 120.00
_space_group_name_H-M_alt 'R -3 m'
_space_group_IT_number 166
_space_group_name_Hall '-R 3 2"'
loop_
_atom_site_label
_atom_site_fract_x
_atom_site_fract_y
_atom_site_fract_z
Ta1 0.0000 0.0000 0.1252
V1 0.0000 0.5000 0.0000
Cr1 0.0000 0.0000 0.5000
```

Calculated values
energy of formation from the pure elements: -167 meV per atom
total energy: -61.7 eV per formula unit

---

# 16
Material: BaSeCl2
Method: DFT, GGA-PBE
State: optimized geometry

Geometry as CIF:
```
data_BaSeCl2
_cell_length_a 5.6657
_cell_length_b 5.6657
_cell_length_c 12.1547
_cell_angle_alpha 90.00
_cell_angle_beta 90.00
_cell_angle_gamma 120.00
_space_group_name_H-M_alt 'R -3 m'
_space_group_IT_number 166
_space_group_name_Hall '-R 3 2"'
loop_
_atom_site_label
_atom_site_fract_x
_atom_site_fract_y
_atom_site_fract_z
Ba1 0.0000 0.0000 0.0000
Se1 0.0000 0.0000 0.5000
Cl1 0.0000 0.0000 0.2952
```

Calculated values
ΔE to the lowest computed polymorph: 78 meV per atom
total energy: -15.0 eV per formula unit

---

# 17
Material: TlRe2Sb
Method: DFT, GGA-PBE
State: optimized geometry

Geometry as CIF:
```
data_TlRe2Sb
_cell_length_a 6.7072
_cell_length_b 6.7072
_cell_length_c 6.7072
_cell_angle_alpha 90.00
_cell_angle_beta 90.00
_cell_angle_gamma 90.00
_space_group_name_H-M_alt 'F -4 3 m'
_space_group_IT_number 216
_space_group_name_Hall 'F -4 2 3'
loop_
_atom_site_label
_atom_site_fract_x
_atom_site_fract_y
_atom_site_fract_z
Tl1 0.0000 0.0000 0.0000
Re1 0.0000 0.0000 0.5000
Re2 0.2500 0.2500 0.2500
Sb1 0.2500 0.2500 0.7500
```

Calculated values
ΔE to the lowest computed polymorph: 733 meV per atom
total energy: -26.9 eV per formula unit

---

# 18
Material: PCl5
Method: DFT, GGA-PBE
State: optimized geometry

Geometry as CIF:
```
data_PCl5
_cell_length_a 10.8951
_cell_length_b 11.2433
_cell_length_c 10.9091
_cell_angle_alpha 90.00
_cell_angle_beta 91.74
_cell_angle_gamma 90.00
_space_group_name_H-M_alt 'C 1 2/m 1'
_space_group_IT_number 12
loop_
_space_group_symop_operation_xyz
'x,y,z'
'-x,-y,-z'
'-x,y,-z'
'x,-y,z'
'x+1/2,y+1/2,z'
'-x+1/2,-y+1/2,-z'
'-x+1/2,y+1/2,-z'
'x+1/2,-y+1/2,z'
loop_
_atom_site_label
_atom_site_fract_x
_atom_site_fract_y
_atom_site_fract_z
P1 0.0000 0.0000 0.0000
P2 0.1616 0.5000 0.1017
Cl1 0.0000 0.0000 0.5000
Cl2 0.0897 0.5000 0.5223
Cl3 0.0943 0.3586 0.1956
Cl4 0.1459 0.0000 0.1441
Cl5 0.1533 0.0000 0.8207
Cl6 0.1760 0.1919 0.4982
```

Calculated values
total energy: -16.1 eV per formula unit

---

# 19
Material: NdTc4Ge2
Method: DFT, GGA-PBE
State: optimized geometry

Geometry as CIF:
```
data_NdTc4Ge2
_cell_length_a 4.1606
_cell_length_b 14.4578
_cell_length_c 4.1296
_cell_angle_alpha 90.00
_cell_angle_beta 90.00
_cell_angle_gamma 90.00
_space_group_name_H-M_alt 'C m m m'
_space_group_IT_number 65
_space_group_name_Hall '-C 2 2'
loop_
_atom_site_label
_atom_site_fract_x
_atom_site_fract_y
_atom_site_fract_z
Nd1 0.0000 0.0000 0.0000
Tc1 0.0000 0.1940 0.5000
Tc2 0.0000 0.3014 0.0000
Ge1 0.0000 0.4108 0.5000
```

Calculated values
energy of formation from the pure elements: -401 meV per atom
total energy: -58.3 eV per formula unit

---

# 20
Material: CaNiHgPb2
Method: DFT, GGA-PBE
State: optimized geometry

Geometry as CIF:
```
data_CaNiHgPb2
_cell_length_a 5.0824
_cell_length_b 5.0824
_cell_length_c 5.4444
_cell_angle_alpha 90.00
_cell_angle_beta 90.00
_cell_angle_gamma 90.00
_space_group_name_H-M_alt 'P 4/m m m'
_space_group_IT_number 123
_space_group_name_Hall '-P 4 2'
loop_
_atom_site_label
_atom_site_fract_x
_atom_site_fract_y
_atom_site_fract_z
Ca1 0.0000 0.0000 0.0000
Ni1 0.0000 0.0000 0.5000
Hg1 0.5000 0.5000 0.0000
Pb1 0.0000 0.5000 0.5000
```

Calculated values
energy of formation from the pure elements: -110 meV per atom
total energy: -16.0 eV per formula unit